CaMgTa | PBE | relaxed

**Crystal system**: cubic
**E above lowest polymorph**: 0.840 eV/atom
**Mass density**: 4.8 g/cm³
**Density of states at the Fermi level**: 1.28 states/eV per atom
**Total moment**: 1.710 μB per formula unit

a b c (Å): 4.927 4.927 4.927
angles (deg): 60.00 60.00 60.00
Last column: magnetic moment on the atom in μB.
Fractional positions:
Mg 0.750 0.750 0.750  -0.01
Ta 0.000 0.000 0.000  0.96
Ca 0.500 0.500 0.500  0.07